Below is Rb2In2Au after structural relaxation, with properties calculated at the GGA-PBE level.

The structure in extended XYZ format:
```
5
Lattice="-2.145 2.145 10.784 2.145 -2.145 10.784 2.145 2.145 -10.784" Properties=species:S:1:pos:R:3 pbc="T T T"
Rb 0.000 0.000 2.002
Rb 0.000 0.000 19.566
In 2.145 0.000 5.392
In 0.000 2.145 5.392
Au 0.000 0.000 10.784
```

Results
* final energy: -0.166 Ry/atom
* E_form: -0.117 eV per atom
* calculated volume: 198.4 Å³ per cell
* space group: I4/mmm, No. 139
* D(E_F): 1.571 states/eV/f.u.

***

Below is Ho4TlSe2 after structural relaxation, with properties calculated at the GGA-PBE level.

The structure in extended XYZ format:
```
14
Lattice="2.019 -6.698 0.000 2.019 6.698 0.000 0.000 0.000 13.833" Properties=species:S:1:pos:R:3 pbc="T T T"
Ho 0.000 0.000 0.000
Ho 0.000 0.000 6.916
Ho 2.019 3.092 8.615
Ho 2.019 3.092 12.134
Ho 2.019 0.949 3.458
Ho 2.019 -0.949 10.374
Ho 2.019 -3.092 1.699
Ho 2.019 -3.092 5.218
Tl 2.019 5.300 3.458
Tl 2.019 -5.300 10.374
Se 2.019 1.825 0.797
Se 2.019 1.825 6.120
Se 2.019 -1.825 7.713
Se 2.019 -1.825 13.036
```

Results
* final energy: -0.372 Ry/atom
* calculated volume: 374.2 Å³ per cell
* formation energy without anion corrections: -1105.6 meV per atom
* space group: Cmcm, No. 63
* D(E_F): 4.728 states/eV/f.u.